The following is a PBE+U calculation of an optimized crystal structure of TmCoIrO6, from Alexandria via LeMat-Bulk.

Cell: 5.3442 5.3442 8.5888 Å, 90.00 90.00 120.00°
Closest atoms and distances in Å follow each position.
Fractional positions:
Tm 0.3333 0.6667 0.2500  6 O 2.20
Tm 0.6667 0.3333 0.7500  6 O 2.20
Co 0.0000 0.0000 0.0000  6 O 2.12
Co 0.0000 0.0000 0.5000  6 O 2.12
Ir 0.3333 0.6667 0.7500  6 O 1.94
Ir 0.6667 0.3333 0.2500  6 O 1.94
O 0.0382 0.3611 0.6234  1 Ir 1.94, 1 Co 2.12
O 0.0382 0.6770 0.8766  1 Ir 1.94, 1 Co 2.12
O 0.3230 0.3611 0.8766  1 Ir 1.94, 1 Co 2.12
O 0.3230 0.9618 0.6234  1 Ir 1.94, 1 Co 2.12
O 0.3611 0.0382 0.1234  1 Ir 1.94, 1 Co 2.12
O 0.3611 0.3230 0.3766  1 Ir 1.94, 1 Co 2.12
O 0.6389 0.6770 0.6234  1 Ir 1.94, 1 Co 2.12
O 0.6389 0.9618 0.8766  1 Ir 1.94, 1 Co 2.12
O 0.6770 0.0382 0.3766  1 Ir 1.94, 1 Co 2.12
O 0.6770 0.6389 0.1234  1 Ir 1.94, 1 Co 2.12
O 0.9618 0.3230 0.1234  1 Ir 1.94, 1 Co 2.12
O 0.9618 0.6389 0.3766  1 Ir 1.94, 1 Co 2.12

Summary:
total DFT energy (no corrections) = -6.76 eV per atom
crystal system = trigonal